Entry 1:
The following is a DFT calculation (PBE) of ZrTi5Ge6 after structural relaxation.

Values from the calculation:
* DOS(E_F): 2.7 states/eV/cell
* SG: C2/m
* VASP energy: -6.82 eV per atom
* energy relative to the elements: -0.508 eV/atom

Lattice parameters (Å, degrees): 6.420 6.420 6.421 99.63 99.63 119.92
Element x y z (fractional)
Zr  0.000  0.000  0.000
Ti  0.162  0.838  0.500
Ti  0.332  0.668  0.000
Ti  0.500  0.500  0.500
Ti  0.668  0.332  0.000
Ti  0.838  0.162  0.500
Ge  0.086  0.429  0.258
Ge  0.260  0.260  0.747
Ge  0.429  0.086  0.258
Ge  0.571  0.914  0.742
Ge  0.740  0.740  0.253
Ge  0.914  0.571  0.742

---

Entry 2:
The following is a DFT calculation (PBE) of Ta2ReSb after structural relaxation.

Values from the calculation:
* DOS(E_F): 3.1 states/eV/cell
* SG: Imm2
* VASP energy: -9.95 eV per atom
* energy relative to the elements, uncorrected: 0.115 eV/atom

Lattice parameters (Å, degrees): 5.471 5.471 5.471 144.14 131.16 62.06
Element x y z (fractional)
Ta  0.000  0.000  0.000
Ta  0.746  0.246  0.500
Re  0.236  0.736  0.500
Sb  0.482  0.482  0.000

---

Entry 3:
The following is a DFT calculation (PBE) of RbCaTe2 after structural relaxation.

Values from the calculation:
* DOS(E_F): 1.6 states/eV/cell
* SG: I-42d
* VASP energy: -3.21 eV per atom
* energy relative to the elements, uncorrected: -0.893 eV/atom

Lattice parameters (Å, degrees): 10.740 10.740 10.740 142.58 142.58 53.96
Element x y z (fractional)
Rb  0.000  0.000  0.000
Rb  0.750  0.250  0.500
Ca  0.250  0.750  0.500
Ca  0.500  0.500  0.000
Te  0.374  0.125  0.749
Te  0.375  0.626  0.751
Te  0.376  0.625  0.251
Te  0.875  0.624  0.249

---

Entry 4:
The following is a DFT calculation (PBE) of TbEuSb after structural relaxation.

Values from the calculation:
* DOS(E_F): 4.5 states/eV/cell
* SG: I4mm
* VASP energy: -6.98 eV per atom
* energy relative to the elements, uncorrected: -0.643 eV/atom

Lattice parameters (Å, degrees): 6.149 6.149 6.149 141.06 141.06 56.25
Element x y z (fractional)
Tb  0.000  0.000  0.000
Eu  0.700  0.700  0.000
Sb  0.371  0.371  0.000

---

Entry 5:
The following is a DFT calculation (PBE) of KCo4S8 after structural relaxation.

Values from the calculation:
* DOS(E_F): 16.4 states/eV/cell
* SG: R-3m
* VASP energy: -5.24 eV per atom
* energy relative to the elements, uncorrected: -0.430 eV/atom

Lattice parameters (Å, degrees): 8.719 8.719 8.719 43.94 43.94 43.94
Element x y z (fractional)
K  0.000  0.000  0.000
Co  0.000  0.000  0.500
Co  0.000  0.500  0.000
Co  0.500  0.000  0.000
Co  0.500  0.500  0.500
S  0.219  0.219  0.219
S  0.219  0.718  0.718
S  0.282  0.282  0.781
S  0.282  0.781  0.282
S  0.718  0.219  0.718
S  0.718  0.718  0.219
S  0.781  0.282  0.282
S  0.781  0.781  0.781

---

Entry 6:
The following is a DFT calculation (PBE) of ZnMo2Se after structural relaxation.

Values from the calculation:
* DOS(E_F): 5.2 states/eV/cell
* SG: Fm-3m
* VASP energy: -6.24 eV per atom
* energy relative to the elements, uncorrected: 0.360 eV/atom

Lattice parameters (Å, degrees): 4.414 4.414 4.414 60.00 60.00 60.00
Element x y z (fractional)
Zn  0.000  0.000  0.000
Mo  0.250  0.250  0.250
Mo  0.750  0.750  0.750
Se  0.500  0.500  0.500